*w*
Computed, not measured: a relaxed Ba2NaSc crystal at the GGA-PBE level of DFT.

Symmetry: Fm-3m, No. 225
Spin magnetization, Bohr magnetons per cell: 0.148
DOS(E_F), states/eV/f.u.: 7.1

Cell: 6.3365 6.3365 6.3365 Å, 60.00 60.00 60.00°
Last column: nearest neighbours and their distance in Å.
Positions (direct):
Ba: 0.7500 0.7500 0.7500  4 Na 3.88, 4 Sc 3.88
Ba: 0.2500 0.2500 0.2500  4 Na 3.88, 4 Sc 3.88
Na: 0.0000 0.0000 0.0000  8 Ba 3.88
Sc: 0.5000 0.5000 0.5000  8 Ba 3.88

*x*
Computed, not measured: a relaxed Ba2NaSc crystal at the GGA-PBE level of DFT.

Symmetry: I-42d, No. 122
Spin magnetization, Bohr magnetons per cell: 0.000
DOS(E_F), states/eV/f.u.: 4.2

Cell: 9.6449 9.6449 7.7665 Å, 51.62 51.62 90.00°
Last column: nearest neighbours and their distance in Å.
Positions (direct):
Na: 0.5000 0.5000 0.0000  4 Ba 3.51, 2 Sc 3.72
Na: 0.2500 0.7500 0.5000  4 Ba 3.51, 2 Sc 3.72
Ba: 0.8750 0.8712 0.7500  2 Na 3.51, 2 Sc 3.56, 2 Ba 3.72
Ba: 0.6212 0.1250 0.2500  2 Na 3.51, 2 Sc 3.56, 2 Ba 3.72
Ba: 0.1288 0.6250 0.2500  2 Na 3.51, 2 Sc 3.56, 2 Ba 3.72
Ba: 0.3750 0.3788 0.7500  2 Na 3.51, 2 Sc 3.56, 2 Ba 3.72
Sc: 0.0000 0.0000 0.0000  4 Ba 3.56, 2 Na 3.72
Sc: 0.7500 0.2500 0.5000  4 Ba 3.56, 2 Na 3.72

*w* has the most favorable energy; the next structure is 167 meV/atom above.

*w*
Computed, not measured: a relaxed BaNaSc3 crystal at the GGA-PBE level of DFT.

Symmetry: Pm-3m, No. 221
Spin magnetization, Bohr magnetons per cell: 0.000
DOS(E_F), states/eV/f.u.: 1.9

Cell: 5.5317 5.5317 5.5317 Å, 90.00 90.00 90.00°
Last column: nearest neighbours and their distance in Å.
Positions (direct):
Sc: 0.0000 0.0000 0.5000  2 Ba 2.77
Sc: 0.0000 0.5000 0.0000  2 Ba 2.77
Sc: 0.5000 0.0000 0.0000  2 Ba 2.77
Na: 0.5000 0.5000 0.5000  12 Sc 3.91
Ba: 0.0000 0.0000 0.0000  6 Sc 2.77

*x*
Computed, not measured: a relaxed BaNaSc3 crystal at the GGA-PBE level of DFT.

Symmetry: Pm-3m, No. 221
Spin magnetization, Bohr magnetons per cell: 0.000
DOS(E_F), states/eV/f.u.: 9.7

Cell: 5.5063 5.5063 5.5063 Å, 90.00 90.00 90.00°
Last column: nearest neighbours and their distance in Å.
Positions (direct):
Ba: 0.5000 0.5000 0.5000  12 Sc 3.89
Na: 0.0000 0.0000 0.0000  6 Sc 2.75
Sc: 0.5000 0.0000 0.0000  2 Na 2.75
Sc: 0.0000 0.0000 0.5000  2 Na 2.75
Sc: 0.0000 0.5000 0.0000  2 Na 2.75

*x* has the most favorable energy; the next structure is 313 meV/atom above.

*w*
Computed, not measured: a relaxed BaNa2Sc crystal at the GGA-PBE level of DFT.

Symmetry: Fm-3m, No. 225
Spin magnetization, Bohr magnetons per cell: 1.440
DOS(E_F), states/eV/f.u.: 6.1

Cell: 5.9932 5.9932 5.9932 Å, 60.00 60.00 60.00°
Last column: nearest neighbours and their distance in Å.
Positions (direct):
Na: 0.2500 0.2500 0.2500  4 Ba 3.67, 4 Sc 3.67
Na: 0.7500 0.7500 0.7500  4 Ba 3.67, 4 Sc 3.67
Ba: 0.5000 0.5000 0.5000  8 Na 3.67
Sc: 0.0000 0.0000 0.0000  8 Na 3.67

*x*
Computed, not measured: a relaxed BaNa2Sc crystal at the GGA-PBE level of DFT.

Symmetry: I-42d, No. 122
Spin magnetization, Bohr magnetons per cell: 3.562
DOS(E_F), states/eV/f.u.: 5.8

Cell: 9.5106 9.5106 7.5978 Å, 51.25 51.25 90.00°
Last column: nearest neighbours and their distance in Å.
Positions (direct):
Sc: 0.2500 0.7500 0.5000  4 Na 3.31, 2 Ba 3.54
Sc: 0.5000 0.5000 0.0000  4 Na 3.31, 2 Ba 3.54
Na: 0.3750 0.4020 0.7500  2 Sc 3.31, 2 Na 3.57, 2 Ba 3.66
Na: 0.5980 0.1250 0.2500  2 Sc 3.31, 2 Na 3.57, 2 Ba 3.66
Na: 0.8750 0.8480 0.7500  2 Sc 3.31, 2 Na 3.57, 2 Ba 3.66
Na: 0.1520 0.6250 0.2500  2 Sc 3.31, 2 Na 3.57, 2 Ba 3.66
Ba: 0.7500 0.2500 0.5000  2 Sc 3.54, 4 Na 3.66
Ba: 0.0000 0.0000 0.0000  2 Sc 3.54, 4 Na 3.66

*w* has the most favorable energy; the next structure is 147 meV/atom above.

*w*
Computed, not measured: a relaxed BaNaSc2 crystal at the GGA-PBE level of DFT.

Symmetry: Fm-3m, No. 225
Spin magnetization, Bohr magnetons per cell: 0.000
DOS(E_F), states/eV/f.u.: 9.7

Cell: 5.7080 5.7080 5.7080 Å, 60.00 60.00 60.00°
Last column: nearest neighbours and their distance in Å.
Positions (direct):
Ba: 0.5000 0.5000 0.5000  8 Sc 3.50
Sc: 0.2500 0.2500 0.2500  4 Ba 3.50, 4 Na 3.50
Sc: 0.7500 0.7500 0.7500  4 Ba 3.50, 4 Na 3.50
Na: 0.0000 0.0000 0.0000  8 Sc 3.50

*x*
Computed, not measured: a relaxed BaNaSc2 crystal at the GGA-PBE level of DFT.

Symmetry: R-3m, No. 166
Spin magnetization, Bohr magnetons per cell: 0.000
DOS(E_F), states/eV/f.u.: 8.6

Cell: 12.9754 12.9754 12.9754 Å, 15.30 15.30 15.30°
Last column: nearest neighbours and their distance in Å.
Positions (direct):
Sc: 0.9139 0.9139 0.9139  1 Na 3.31, 6 Sc 3.45, 3 Ba 3.69
Sc: 0.0861 0.0861 0.0861  1 Na 3.31, 6 Sc 3.45, 3 Ba 3.69
Na: 0.0000 0.0000 0.0000  2 Sc 3.31, 6 Na 3.45
Ba: 0.5000 0.5000 0.5000  6 Ba 3.45, 6 Sc 3.69

*x* has the most favorable energy; the next structure is 53 meV/atom above.

*w*
Computed, not measured: a relaxed Ba2NaSe2 crystal at the GGA-PBE level of DFT.

Symmetry: I4/mmm, No. 139
Spin magnetization, Bohr magnetons per cell: 0.000
DOS(E_F), states/eV/f.u.: 2.4

Cell: 6.0941 6.0941 7.7759 Å, 66.93 66.93 90.00°
Last column: nearest neighbours and their distance in Å.
Positions (direct):
Ba: 0.6818 0.6818 0.6364  4 Se 3.17
Ba: 0.3182 0.3182 0.3636  4 Se 3.17
Se: 0.7500 0.2500 0.5000  4 Ba 3.17
Se: 0.2500 0.7500 0.5000  4 Ba 3.17
Na: 0.0000 0.0000 0.0000  2 Ba 4.12, 8 Se 4.45

*x*
Computed, not measured: a relaxed Ba2NaSe2 crystal at the GGA-PBE level of DFT.

Symmetry: I4/mmm, No. 139
Spin magnetization, Bohr magnetons per cell: 0.000
DOS(E_F), states/eV/f.u.: 2.6

Cell: 6.4124 6.4124 7.9812 Å, 66.31 66.31 90.00°
Last column: nearest neighbours and their distance in Å.
Positions (direct):
Se: 0.7857 0.7857 0.4285  1 Na 2.81
Se: 0.2143 0.2143 0.5715  1 Na 2.81
Ba: 0.2500 0.7500 0.5000  4 Se 3.24
Ba: 0.7500 0.2500 0.5000  4 Se 3.24
Na: 0.0000 0.0000 0.0000  2 Se 2.81

*x* has the most favorable energy; the next structure is 118 meV/atom above.

*w*
Computed, not measured: a relaxed Ba2NaSe2 crystal at the GGA-PBE level of DFT.

Symmetry: P4/mbm, No. 127
Spin magnetization, Bohr magnetons per cell: 1.705
DOS(E_F), states/eV/f.u.: 0.9

Cell: 8.7598 8.7598 4.4056 Å, 90.00 90.00 90.00°
Last column: nearest neighbours and their distance in Å.
Positions (direct):
Na: 0.5000 0.5000 0.0000  4 Se 3.31
Na: 0.0000 0.0000 0.0000  4 Se 3.31
Se: 0.3437 0.8437 0.0000  6 Ba 3.24-3.49, 2 Na 3.31
Se: 0.6563 0.1563 0.0000  6 Ba 3.24-3.49, 2 Na 3.31
Se: 0.1563 0.3437 0.0000  6 Ba 3.24-3.49, 2 Na 3.31
Se: 0.8437 0.6563 0.0000  6 Ba 3.24-3.49, 2 Na 3.31
Ba: 0.3478 0.1522 0.5000  6 Se 3.24-3.49
Ba: 0.6522 0.8478 0.5000  6 Se 3.24-3.49
Ba: 0.8478 0.3478 0.5000  6 Se 3.24-3.49
Ba: 0.1522 0.6522 0.5000  6 Se 3.24-3.49

*x*
Computed, not measured: a relaxed Ba2NaSe2 crystal at the GGA-PBE level of DFT.

Symmetry: P4/mbm, No. 127
Spin magnetization, Bohr magnetons per cell: 0.462
DOS(E_F), states/eV/f.u.: 2.7

Cell: 9.2019 9.2019 4.0980 Å, 90.00 90.00 90.00°
Last column: nearest neighbours and their distance in Å.
Positions (direct):
Na: 0.0000 0.0000 0.0000  4 Ba 3.53
Na: 0.5000 0.5000 0.0000  4 Ba 3.53
Se: 0.6556 0.8444 0.5000  6 Ba 3.30-3.45
Se: 0.3444 0.1556 0.5000  6 Ba 3.30-3.45
Se: 0.1556 0.6556 0.5000  6 Ba 3.30-3.45
Se: 0.8444 0.3444 0.5000  6 Ba 3.30-3.45
Ba: 0.6457 0.1457 0.0000  6 Se 3.30-3.45, 2 Na 3.53
Ba: 0.1457 0.3543 0.0000  6 Se 3.30-3.45, 2 Na 3.53
Ba: 0.3543 0.8543 0.0000  6 Se 3.30-3.45, 2 Na 3.53
Ba: 0.8543 0.6457 0.0000  6 Se 3.30-3.45, 2 Na 3.53

*w* has the most favorable energy; the next structure is 192 meV/atom above.